# 1
{"formula": "Tc4Mo", "functional": "PBE", "state": "optimized geometry", "lattice_angstrom": [[-3.134, 1.829, -2.839], [-1.122, -4.217, -1.478], [-3.186, -0.314, 3.314]], "species": ["Mo", "Tc", "Tc", "Tc", "Tc"], "frac_coords": [[0.500, 0.500, 0.500], [0.000, 0.000, 0.000], [0.500, 0.000, 0.500], [0.000, 0.500, 0.500], [0.500, 0.500, 0.000]], "sg": "Pm-3m", "ef_ev_per_atom": 1.9120, "dos_at_fermi_per_ev_atom": 1.0259, "mass_density_kg_m3": 8285, "relative_energy_ev_per_fu": 6.203}

# 2
{"formula": "K2GeTeSe", "functional": "PBE", "state": "optimized geometry", "lattice_angstrom": [[-2.354, -1.099, -3.502], [-0.713, -8.422, 3.121], [-7.858, 4.262, 3.945]], "species": ["K", "K", "K", "K", "Ge", "Ge", "Te", "Te", "Se", "Se"], "frac_coords": [[0.750, 0.702, 0.597], [0.750, 0.856, 0.105], [0.250, 0.298, 0.403], [0.250, 0.144, 0.895], [0.250, 0.510, 0.879], [0.750, 0.490, 0.121], [0.250, 0.643, 0.296], [0.750, 0.357, 0.704], [0.250, 0.771, 0.847], [0.750, 0.229, 0.153]], "sg": "P2_1/m", "final_energy_ev_per_atom": -3.45, "mass_density_kg_m3": 3158}

# 3
{"formula": "AlSi2Ni2", "functional": "PBE", "state": "optimized geometry", "lattice_angstrom": [[3.543, 0.000, 0.000], [0.000, 3.543, 0.000], [0.000, 0.000, 10.602]], "species": ["Al", "Al", "Si", "Si", "Si", "Si", "Ni", "Ni", "Ni", "Ni"], "frac_coords": [[0.500, 0.000, 0.251], [0.000, 0.500, 0.749], [0.000, 0.000, 0.500], [0.500, 0.500, 0.500], [0.500, 0.000, 0.858], [0.000, 0.500, 0.142], [0.000, 0.000, 0.000], [0.500, 0.500, 0.000], [0.500, 0.000, 0.643], [0.000, 0.500, 0.357]], "sg": "P4/nmm", "dos_at_fermi_per_ev_atom": 0.4978, "final_energy_ev_per_atom": -5.50, "mass_density_kg_m3": 5005}

# 4
{"formula": "ZrAlRuAu", "functional": "PBE", "state": "optimized geometry", "lattice_angstrom": [[-2.169, -0.614, 3.996], [2.373, -1.210, 3.736], [0.590, 3.006, 3.416]], "species": ["Ru", "Au", "Al", "Zr"], "frac_coords": [[0.000, 0.000, 0.000], [0.500, 0.500, 0.500], [0.250, 0.250, 0.250], [0.750, 0.750, 0.750]], "sg": "F-43m", "ef_ev_per_atom": -0.4564, "dos_at_fermi_per_ev_atom": 0.6803, "mass_density_kg_m3": 10121}